A plane-wave DFT calculation with PBE with a Hubbard U was carried out for a relaxed structure of V2HgHO6.

```
data_V2HgHO6
_chemical_formula_sum 'V4 Hg2 H2 O12'
_cell_length_a 7.816
_cell_length_b 7.816
_cell_length_c 5.908
_cell_angle_alpha 101.65
_cell_angle_beta 101.65
_cell_angle_gamma 89.74
_space_group_name_H-M_alt 'P 1'
_space_group_IT_number 1
_space_group_name_Hall 'P 1'
loop_
_atom_site_label
_atom_site_fract_x
_atom_site_fract_y
_atom_site_fract_z
V1 0.160 0.328 0.213
V2 0.328 0.160 0.713
V3 0.672 0.840 0.287
V4 0.840 0.672 0.787
Hg1 0.336 0.664 0.750
Hg2 0.664 0.336 0.250
H1 0.391 0.609 0.250
H2 0.609 0.391 0.750
O1 0.046 0.612 0.816
O2 0.199 0.205 0.938
O3 0.205 0.199 0.438
O4 0.303 0.512 0.318
O5 0.388 0.954 0.684
O6 0.488 0.697 0.182
O7 0.512 0.303 0.818
O8 0.612 0.046 0.316
O9 0.697 0.488 0.682
O10 0.795 0.801 0.562
O11 0.801 0.795 0.062
O12 0.954 0.388 0.184
```

* raw total energy: -123.57 eV for the cell shown
* calculated density: 3.8 g/cm³
* space group: C2/c, No. 15